DFT (PBE-GGA) results for an optimized crystal structure of NaP2PdCl.

Cell: 4.9026 4.9026 4.7694 Å, 90.00 90.00 90.00°
With the nearest neighbours (Å) after each atom.
Sites, in units of the cell vectors:
Pd (0.5000, 0.5000, 0.5000)  8 P 3.42, 4 Cl 3.47
Cl (0.0000, 0.0000, 0.5000)  2 Na 2.38
Na (0.0000, 0.0000, 0.0000)  2 Cl 2.38, 4 P 2.45
P (0.0000, 0.5000, 0.0000)  2 Na 2.45
P (0.5000, 0.0000, 0.0000)  2 Na 2.45

Summary:
- symmetry = P4/mmm (123)
- V (Å³/cell) = 114.6
- calculated density (g/cm³) = 3.29
- raw formation energy (meV per atom) = 1160
- final energy (eV per atom) = -2.676
- N(E_F) (states/eV/cell) = 4.6
- magnetization (μB/cell) = 0.0